Record 1
A plane-wave DFT calculation with PBE-GGA was carried out for an optimized crystal structure of AcZn2Hg4.

Results
energy of formation = -0.2307 eV per atom
energy = -9.48 eV per cell

Cell: 4.795 4.757 7.702 Å, 107.99 90.00 90.00°
Atoms (fractional coordinates):
Hg (0.500, 0.176, 0.353)
Hg (0.000, 0.678, 0.355)
Hg (0.000, 0.322, 0.645)
Hg (0.500, 0.824, 0.647)
Zn (0.500, 0.583, 0.166)
Zn (0.500, 0.417, 0.834)
Ac (0.000, 0.000, 0.000)

---

Record 2
A plane-wave DFT calculation with PBE-GGA was carried out for an optimized crystal structure of AcZnHg.

Results
energy of formation = -0.3933 eV per atom
energy above the most stable polymorph in this dataset = 0 meV/atom
energy = -6.86 eV per cell

Cell: 3.894 4.929 4.929 Å, 120.00 90.00 90.00°
Atoms (fractional coordinates):
Ac (0.667, 0.333, 0.667)
Hg (0.167, 0.000, 0.000)
Zn (0.167, 0.667, 0.333)

---

Record 3
A plane-wave DFT calculation with PBE-GGA was carried out for an optimized crystal structure of Ac6ZnHg5.

Results
energy of formation = -0.4328 eV per atom
energy = -32.63 eV per cell

Cell: 5.693 8.053 9.844 Å, 114.15 106.62 90.00°
Last column: magnetic moment on the atom in μB.
Atoms (fractional coordinates):
Ac (0.164, 0.917, 0.329)  0.05
Ac (0.500, 0.756, 0.000)  0.05
Ac (0.836, 0.588, 0.671)  0.05
Ac (0.500, 0.244, 0.000)  0.05
Ac (0.836, 0.083, 0.671)  0.05
Ac (0.164, 0.412, 0.329)  0.05
Hg (0.666, 0.666, 0.332)  0.01
Hg (0.334, 0.834, 0.667)  0.01
Hg (0.666, 0.166, 0.333)  0.01
Hg (0.000, 0.500, 0.000)  0.01
Hg (0.334, 0.334, 0.668)  0.01
Zn (0.000, 0.000, 0.000)  0.00

---

Record 4
A plane-wave DFT calculation with PBE-GGA was carried out for an optimized crystal structure of Ac6ZnHg3.

Results
energy of formation = -0.2739 eV per atom
energy = -59.14 eV per cell

Cell: 5.613 10.151 12.816 Å, 106.88 90.00 90.00°
Atoms (fractional coordinates):
Hg (0.750, 0.634, 0.236)
Hg (0.750, 0.230, 0.031)
Hg (0.250, 0.770, 0.969)
Hg (0.250, 0.366, 0.764)
Hg (0.750, 0.461, 0.608)
Hg (0.250, 0.539, 0.392)
Ac (0.250, 0.496, 0.108)
Ac (0.750, 0.135, 0.654)
Ac (0.250, 0.865, 0.346)
Ac (0.750, 0.504, 0.892)
Ac (0.250, 0.651, 0.685)
Ac (0.250, 0.252, 0.493)
Ac (0.750, 0.876, 0.126)
Ac (0.250, 0.118, 0.149)
Ac (0.750, 0.882, 0.851)
Ac (0.750, 0.349, 0.315)
Ac (0.250, 0.124, 0.874)
Ac (0.750, 0.748, 0.507)
Zn (0.750, 0.059, 0.383)
Zn (0.250, 0.941, 0.617)

---

Record 5
A plane-wave DFT calculation with PBE-GGA was carried out for an optimized crystal structure of Ac2Zn3Hg2.

Results
energy of formation = -0.3083 eV per atom
energy above the most stable polymorph in this dataset = 33 meV/atom
energy = -29.60 eV per cell

Cell: 4.555 7.916 10.331 Å, 90.00 102.73 90.00°
Atoms (fractional coordinates):
Zn (0.448, 0.587, 0.897)
Zn (0.448, 0.913, 0.897)
Zn (0.552, 0.087, 0.103)
Zn (0.225, 0.750, 0.451)
Zn (0.775, 0.250, 0.549)
Zn (0.552, 0.413, 0.103)
Ac (0.157, 0.250, 0.314)
Ac (0.940, 0.250, 0.881)
Ac (0.060, 0.750, 0.119)
Ac (0.843, 0.750, 0.686)
Hg (0.682, 0.554, 0.364)
Hg (0.318, 0.054, 0.636)
Hg (0.318, 0.446, 0.636)
Hg (0.682, 0.946, 0.364)

---

Record 6
A plane-wave DFT calculation with PBE-GGA was carried out for an optimized crystal structure of Ac3ZnHg2.

Results
energy of formation = -0.3944 eV per atom
energy above the most stable polymorph in this dataset = 4 meV/atom
energy = -16.57 eV per cell

Cell: 4.007 5.658 8.960 Å, 108.40 90.00 90.00°
Atoms (fractional coordinates):
Hg (0.000, 0.665, 0.330)
Hg (0.000, 0.335, 0.670)
Ac (0.500, 0.500, 0.000)
Ac (0.500, 0.162, 0.324)
Ac (0.500, 0.838, 0.676)
Zn (0.000, 0.000, 0.000)

---

Record 7
A plane-wave DFT calculation with PBE-GGA was carried out for an optimized crystal structure of AcZnHg.

Results
energy of formation = -0.3922 eV per atom
energy above the most stable polymorph in this dataset = 1 meV/atom
energy = -13.72 eV per cell

Cell: 4.909 6.226 6.308 Å, 78.60 67.10 66.78°
Atoms (fractional coordinates):
Zn (0.154, 0.801, 0.891)
Zn (0.846, 0.199, 0.109)
Hg (0.822, 0.630, 0.727)
Hg (0.178, 0.370, 0.273)
Ac (0.471, 0.774, 0.285)
Ac (0.529, 0.226, 0.715)

---

Record 8
A plane-wave DFT calculation with PBE-GGA was carried out for an optimized crystal structure of Ac2Zn7Hg.

Results
energy of formation = -0.2895 eV per atom
energy = -20.33 eV per cell

Cell: 4.561 4.561 10.482 Å, 90.00 90.00 90.00°
Atoms (fractional coordinates):
Zn (0.000, 0.500, 0.859)
Zn (0.500, 0.000, 0.141)
Zn (0.500, 0.000, 0.379)
Zn (0.000, 0.500, 0.621)
Zn (0.500, 0.500, 0.500)
Zn (0.000, 0.000, 0.500)
Zn (0.000, 0.000, 0.000)
Ac (0.000, 0.500, 0.257)
Ac (0.500, 0.000, 0.743)
Hg (0.500, 0.500, 0.000)